Density functional theory data (PBE-GGA) for BaTcO4 after structural relaxation.

Lattice parameters (Å, degrees): 5.2826 5.2826 8.0388 90.00 90.00 84.12
Site moments in Bohr magnetons follow the coordinates.
Positions (direct):
1 Ba 0.6396 0.3604 0.2500  0.01
2 Ba 0.3604 0.6396 0.7500  0.01
3 O 0.2951 0.7049 0.0738  0.06
4 O 0.1696 0.1925 0.2500  0.05
5 O 0.8075 0.8304 0.2500  0.06
6 O 0.2951 0.7049 0.4262  0.06
7 O 0.7049 0.2951 0.5738  0.06
8 O 0.1925 0.1696 0.7500  0.06
9 O 0.8304 0.8075 0.7500  0.05
10 O 0.7049 0.2951 0.9262  0.06
11 Tc 0.1421 0.8579 0.2500  0.65
12 Tc 0.8579 0.1421 0.7500  0.65

Its space group is Cmcm. The calculated density is 4.455 g cm⁻³. The distance to the lowest polymorph of the same formula is 0.16 eV/f.u.

---

Density functional theory data (PBE-GGA) for SmGd2Te3 after structural relaxation.

Lattice parameters (Å, degrees): 4.4025 4.4025 10.8050 90.00 90.00 120.00
Positions (direct):
1 Gd 0.3333 0.6667 0.1655
2 Gd 0.6667 0.3333 0.8345
3 Sm 0.0000 0.0000 0.5000
4 Te 0.0000 0.0000 0.0000
5 Te 0.6667 0.3333 0.3296
6 Te 0.3333 0.6667 0.6704

Its space group is P-3m1. The electronic total energy comes out at -5.263 eV per atom. The calculated density is 7.761 g cm⁻³.